Here is an optimized crystal structure of Lu5Pa3S12 from Alexandria via LeMat-Bulk. Energies are from GGA-PBE.

Energy: -1065.77 eV for the cell shown
Energy relative to the elements, uncorrected: -1.630 eV per atom
Crystal system: cubic

Geometry as CIF:
```
data_Lu5Pa3S12
_cell_length_a 15.866
_cell_length_b 15.866
_cell_length_c 15.866
_cell_angle_alpha 90.00
_cell_angle_beta 90.00
_cell_angle_gamma 90.00
_symmetry_space_group_name_H-M 'I a -3 d'
_symmetry_Int_Tables_number 230
_symmetry_space_group_name_Hall '-I 4bd 2c 3'
loop_
_atom_site_label
_atom_site_type_symbol
_atom_site_fract_x
_atom_site_fract_y
_atom_site_fract_z
Lu1 Lu 0.000 0.000 0.000
Lu2 Lu 0.000 0.250 0.375
Pa1 Pa 0.000 0.250 0.125
S1 S 0.023 0.069 0.652
```


Here is an optimized crystal structure of BaTaPt4 from Alexandria via LeMat-Bulk. Energies are from GGA-PBE.

Energy: -153.74 eV for the cell shown
Calculated formation energy: -48 kJ/mol of formula units
Crystal system: cubic

Geometry as CIF:
```
data_BaTaPt4
_cell_length_a 7.736
_cell_length_b 7.736
_cell_length_c 7.736
_cell_angle_alpha 90.00
_cell_angle_beta 90.00
_cell_angle_gamma 90.00
_symmetry_space_group_name_H-M 'F -4 3 m'
_symmetry_Int_Tables_number 216
_symmetry_space_group_name_Hall 'F -4 2 3'
loop_
_atom_site_label
_atom_site_type_symbol
_atom_site_fract_x
_atom_site_fract_y
_atom_site_fract_z
Ba1 Ba 0.000 0.000 0.000
Ta1 Ta 0.250 0.250 0.250
Pt1 Pt 0.124 0.124 0.624
```


Here is an optimized crystal structure of KSb2ICl from Alexandria via LeMat-Bulk. Energies are from GGA-PBE.

Energy: -8.92 eV for the cell shown
Excess energy over the best structure of this formula in the dataset: 0.752 eV per atom
Energy relative to the elements, uncorrected: 0.763 eV per atom
Crystal system: tetragonal

Geometry as CIF:
```
data_KSb2ICl
_cell_length_a 7.205
_cell_length_b 7.205
_cell_length_c 6.226
_cell_angle_alpha 90.00
_cell_angle_beta 90.00
_cell_angle_gamma 90.00
_symmetry_space_group_name_H-M 'P 4/m m m'
_symmetry_Int_Tables_number 123
_symmetry_space_group_name_Hall '-P 4 2'
loop_
_atom_site_label
_atom_site_type_symbol
_atom_site_fract_x
_atom_site_fract_y
_atom_site_fract_z
K1 K 0.000 0.000 0.000
Sb1 Sb 0.000 0.500 0.000
I1 I 0.000 0.000 0.500
Cl1 Cl 0.500 0.500 0.500
```


Here is an optimized crystal structure of AcNd2OsO8 from Alexandria via LeMat-Bulk. Energies are from GGA-PBE.

Energy: -93.61 eV for the cell shown
Energy relative to the elements, uncorrected: -2.422 eV per atom
Crystal system: monoclinic

Geometry as CIF:
```
data_AcNd2OsO8
_cell_length_a 5.247
_cell_length_b 7.181
_cell_length_c 5.247
_cell_angle_alpha 90.00
_cell_angle_beta 91.13
_cell_angle_gamma 90.00
_symmetry_space_group_name_H-M 'P 1 2/m 1'
_symmetry_Int_Tables_number 10
_symmetry_space_group_name_Hall '-P 2y'
loop_
_atom_site_label
_atom_site_type_symbol
_atom_site_fract_x
_atom_site_fract_y
_atom_site_fract_z
Ac1 Ac 0.000 0.000 0.000
Nd1 Nd 0.500 0.251 0.500
Os1 Os 0.000 0.500 0.000
O1 O 0.181 0.305 0.182
O2 O 0.251 0.500 0.750
O3 O 0.319 0.000 0.683
```


Here is an optimized crystal structure of NbVMo14 from Alexandria via LeMat-Bulk. Energies are from GGA-PBE.

Energy: -343.53 eV for the cell shown
Calculated formation energy: -91 kJ/mol of formula units
Crystal system: orthorhombic

Geometry as CIF:
```
data_NbVMo14
_cell_length_a 6.324
_cell_length_b 8.956
_cell_length_c 8.949
_cell_angle_alpha 90.00
_cell_angle_beta 90.00
_cell_angle_gamma 90.00
_symmetry_space_group_name_H-M 'C m m m'
_symmetry_Int_Tables_number 65
_symmetry_space_group_name_Hall '-C 2 2'
loop_
_atom_site_label
_atom_site_type_symbol
_atom_site_fract_x
_atom_site_fract_y
_atom_site_fract_z
Nb1 Nb 0.000 0.000 0.000
V1 V 0.000 0.500 0.000
Mo1 Mo 0.000 0.000 0.500
Mo2 Mo 0.000 0.251 0.249
Mo3 Mo 0.000 0.500 0.500
Mo4 Mo 0.248 0.500 0.251
Mo5 Mo 0.250 0.250 0.000
Mo6 Mo 0.250 0.250 0.500
```


Here is an optimized crystal structure of ZnAs2Pd8 from Alexandria via LeMat-Bulk. Energies are from GGA-PBE.

Energy: -111.63 eV for the cell shown
Excess energy over the best structure of this formula in the dataset: 0.007 eV per atom
Calculated formation energy: -357 kJ/mol of formula units
Crystal system: monoclinic

Geometry as CIF:
```
data_ZnAs2Pd8
_cell_length_a 7.401
_cell_length_b 11.064
_cell_length_c 4.494
_cell_angle_alpha 90.00
_cell_angle_beta 107.29
_cell_angle_gamma 90.00
_symmetry_space_group_name_H-M 'C 1 2/m 1'
_symmetry_Int_Tables_number 12
_symmetry_space_group_name_Hall '-C 2y'
loop_
_atom_site_label
_atom_site_type_symbol
_atom_site_fract_x
_atom_site_fract_y
_atom_site_fract_z
Zn1 Zn 0.000 0.000 0.000
As1 As 0.000 0.321 0.500
Pd1 Pd 0.000 0.234 0.000
Pd2 Pd 0.128 0.500 0.827
Pd3 Pd 0.196 0.124 0.596
```


Here is an optimized crystal structure of CePm2Pb3 from Alexandria via LeMat-Bulk. Energies are from GGA-PBE.

Energy: -115.11 eV for the cell shown
Excess energy over the best structure of this formula in the dataset: 0.082 eV per atom
Calculated formation energy: -214 kJ/mol of formula units
Crystal system: monoclinic

Geometry as CIF:
```
data_CePm2Pb3
_cell_length_a 7.869
_cell_length_b 13.650
_cell_length_c 7.921
_cell_angle_alpha 90.00
_cell_angle_beta 109.41
_cell_angle_gamma 90.00
_symmetry_space_group_name_H-M 'C 1 2/c 1'
_symmetry_Int_Tables_number 15
_symmetry_space_group_name_Hall '-C 2yc'
loop_
_atom_site_label
_atom_site_type_symbol
_atom_site_fract_x
_atom_site_fract_y
_atom_site_fract_z
Ce1 Ce 0.000 0.085 0.250
Pm1 Pm 0.000 0.252 0.750
Pm2 Pm 0.000 0.417 0.250
Pb1 Pb 0.244 0.082 0.998
Pb2 Pb 0.250 0.250 0.500
```


Here is an optimized crystal structure of Er8Te4Pt3Rh from Alexandria via LeMat-Bulk. Energies are from GGA-PBE.

Energy: -282.04 eV for the cell shown
Energy relative to the elements, uncorrected: -1.217 eV per atom
Crystal system: trigonal

Geometry as CIF:
```
data_Er8Te4Pt3Rh
_cell_length_a 8.2388
_cell_length_b 8.2388
_cell_length_c 21.6321
_cell_angle_alpha 90.00
_cell_angle_beta 90.00
_cell_angle_gamma 120.00
_symmetry_space_group_name_H-M 'R -3 m'
_symmetry_Int_Tables_number 166
_symmetry_space_group_name_Hall '-R 3 2"'
loop_
_atom_site_label
_atom_site_type_symbol
_atom_site_fract_x
_atom_site_fract_y
_atom_site_fract_z
Er1 Er 0.0000 0.0000 0.2363
Er2 Er 0.0055 0.5027 0.2360
Te1 Te 0.0000 0.0000 0.0000
Te2 Te 0.0000 0.5000 0.0000
Pt1 Pt 0.0000 0.5000 0.5000
Rh1 Rh 0.0000 0.0000 0.5000
```


Here is an optimized crystal structure of Er3ZnO from Alexandria via LeMat-Bulk. Energies are from GGA-PBE.

Energy: -26.30 eV for the cell shown
Energy relative to the elements, uncorrected: -1.276 eV per atom
Crystal system: cubic

Geometry as CIF:
```
data_Er3ZnO
_cell_length_a 4.669
_cell_length_b 4.669
_cell_length_c 4.669
_cell_angle_alpha 90.00
_cell_angle_beta 90.00
_cell_angle_gamma 90.00
_symmetry_space_group_name_H-M 'P m -3 m'
_symmetry_Int_Tables_number 221
_symmetry_space_group_name_Hall '-P 4 2 3'
loop_
_atom_site_label
_atom_site_type_symbol
_atom_site_fract_x
_atom_site_fract_y
_atom_site_fract_z
Er1 Er 0.000 0.000 0.500
Zn1 Zn 0.500 0.500 0.500
O1 O 0.000 0.000 0.000
```


Here is an optimized crystal structure of Sr2LiIBr4 from Alexandria via LeMat-Bulk. Energies are from GGA-PBE.

Energy: -56.87 eV for the cell shown
Energy relative to the elements, uncorrected: -1.864 eV per atom
Crystal system: monoclinic

Geometry as CIF:
```
data_Sr2LiIBr4
_cell_length_a 13.461
_cell_length_b 4.323
_cell_length_c 10.576
_cell_angle_alpha 90.00
_cell_angle_beta 117.64
_cell_angle_gamma 90.00
_symmetry_space_group_name_H-M 'C 1 2/m 1'
_symmetry_Int_Tables_number 12
_symmetry_space_group_name_Hall '-C 2y'
loop_
_atom_site_label
_atom_site_type_symbol
_atom_site_fract_x
_atom_site_fract_y
_atom_site_fract_z
Sr1 Sr 0.181 0.000 0.257
Li1 Li 0.000 0.000 0.500
I1 I 0.000 0.500 0.000
Br1 Br 0.115 0.500 0.425
Br2 Br 0.165 0.000 0.757
```


Which of these has the lowest energy? Lu5Pa3S12


Among the records above, which one has the highest energy? KSb2ICl


Number 8 is which compound? Er8Te4Pt3Rh